Entry 1:
# PBE-GGA Sc3ZnRu, optimized geometry
data_Sc3ZnRu
_space_group_name_H-M_alt 'P 1'
_space_group_IT_number 1
_cell_length_a 4.972
_cell_length_b 4.972
_cell_length_c 4.972
_cell_angle_alpha 90.00
_cell_angle_beta 90.00
_cell_angle_gamma 90.00
loop_
_space_group_symop_operation_xyz
'x,y,z'
loop_
_atom_site_label
_atom_site_type_symbol
_atom_site_fract_x
_atom_site_fract_y
_atom_site_fract_z
_atom_site_occupancy
Sc1 Sc 0.000 0.000 0.500 1
Sc2 Sc 0.000 0.500 0.000 1
Sc3 Sc 0.500 0.000 0.000 1
Zn1 Zn 0.500 0.500 0.500 1
Ru1 Ru 0.000 0.000 0.000 1
# Total DFT energy (no corrections)   -29.592 eV per cell
# Formation energy   -0.0094 eV per atom

Entry 2:
# PBE-GGA ScZnRu2, optimized geometry
data_ScZnRu2
_space_group_name_H-M_alt 'P 1'
_space_group_IT_number 1
_cell_length_a 2.866
_cell_length_b 2.866
_cell_length_c 7.668
_cell_angle_alpha 90.00
_cell_angle_beta 90.00
_cell_angle_gamma 90.00
loop_
_space_group_symop_operation_xyz
'x,y,z'
loop_
_atom_site_label
_atom_site_type_symbol
_atom_site_fract_x
_atom_site_fract_y
_atom_site_fract_z
_atom_site_occupancy
Sc1 Sc 0.000 0.000 0.000 1
Zn1 Zn 0.500 0.500 0.285 1
Ru1 Ru 0.000 0.000 0.522 1
Ru2 Ru 0.500 0.500 0.736 1
# Total DFT energy (no corrections)   -26.720 eV per cell
# Formation energy   -0.1407 eV per atom

Entry 3:
# PBE-GGA Sc4Zn3Ru, optimized geometry
data_Sc4Zn3Ru
_space_group_name_H-M_alt 'P 1'
_space_group_IT_number 1
_cell_length_a 3.300
_cell_length_b 3.300
_cell_length_c 13.408
_cell_angle_alpha 90.00
_cell_angle_beta 90.00
_cell_angle_gamma 90.00
loop_
_space_group_symop_operation_xyz
'x,y,z'
loop_
_atom_site_label
_atom_site_type_symbol
_atom_site_fract_x
_atom_site_fract_y
_atom_site_fract_z
_atom_site_occupancy
Sc1 Sc 0.000 0.000 0.114 1
Sc2 Sc 0.000 0.000 0.373 1
Sc3 Sc 0.000 0.000 0.627 1
Sc4 Sc 0.000 0.000 0.886 1
Zn1 Zn 0.500 0.500 0.246 1
Zn2 Zn 0.500 0.500 0.500 1
Zn3 Zn 0.500 0.500 0.754 1
Ru1 Ru 0.500 0.500 0.000 1
# Total DFT energy (no corrections)   -42.073 eV per cell
# Formation energy   -0.4561 eV per atom

Entry 4:
# PBE-GGA Sc6Zn3Ru, optimized geometry
data_Sc6Zn3Ru
_space_group_name_H-M_alt 'P 1'
_space_group_IT_number 1
_cell_length_a 8.268
_cell_length_b 4.758
_cell_length_c 10.457
_cell_angle_alpha 90.00
_cell_angle_beta 108.97
_cell_angle_gamma 90.00
loop_
_space_group_symop_operation_xyz
'x,y,z'
loop_
_atom_site_label
_atom_site_type_symbol
_atom_site_fract_x
_atom_site_fract_y
_atom_site_fract_z
_atom_site_occupancy
Sc1 Sc 0.028 0.250 0.410 1
Sc2 Sc 0.170 0.750 0.168 1
Sc3 Sc 0.267 0.250 0.004 1
Sc4 Sc 0.348 0.750 0.826 1
Sc5 Sc 0.374 0.250 0.340 1
Sc6 Sc 0.387 0.250 0.636 1
Sc7 Sc 0.613 0.750 0.364 1
Sc8 Sc 0.626 0.750 0.660 1
Sc9 Sc 0.652 0.250 0.174 1
Sc10 Sc 0.733 0.750 0.996 1
Sc11 Sc 0.830 0.250 0.832 1
Sc12 Sc 0.972 0.750 0.590 1
Zn1 Zn 0.021 0.750 0.871 1
Zn2 Zn 0.097 0.250 0.720 1
Zn3 Zn 0.270 0.750 0.471 1
Zn4 Zn 0.730 0.250 0.529 1
Zn5 Zn 0.903 0.750 0.280 1
Zn6 Zn 0.979 0.250 0.129 1
Ru1 Ru 0.459 0.750 0.099 1
Ru2 Ru 0.541 0.250 0.901 1
# Total DFT energy (no corrections)   -109.138 eV per cell
# Formation energy   -0.3482 eV per atom

Entry 5:
# PBE-GGA Sc5ZnRu4, optimized geometry
data_Sc5ZnRu4
_space_group_name_H-M_alt 'P 1'
_space_group_IT_number 1
_cell_length_a 3.243
_cell_length_b 3.243
_cell_length_c 16.225
_cell_angle_alpha 90.00
_cell_angle_beta 90.00
_cell_angle_gamma 90.00
loop_
_space_group_symop_operation_xyz
'x,y,z'
loop_
_atom_site_label
_atom_site_type_symbol
_atom_site_fract_x
_atom_site_fract_y
_atom_site_fract_z
_atom_site_occupancy
Sc1 Sc 0.000 0.000 0.000 1
Sc2 Sc 0.000 0.000 0.194 1
Sc3 Sc 0.000 0.000 0.388 1
Sc4 Sc 0.000 0.000 0.612 1
Sc5 Sc 0.000 0.000 0.806 1
Zn1 Zn 0.500 0.500 0.500 1
Ru1 Ru 0.500 0.500 0.099 1
Ru2 Ru 0.500 0.500 0.299 1
Ru3 Ru 0.500 0.500 0.701 1
Ru4 Ru 0.500 0.500 0.901 1
# Total DFT energy (no corrections)   -75.562 eV per cell
# Formation energy   -0.5527 eV per atom

Entry 6:
# PBE-GGA ScZnRu2, optimized geometry
data_ScZnRu2
_space_group_name_H-M_alt 'P 1'
_space_group_IT_number 1
_cell_length_a 5.316
_cell_length_b 5.316
_cell_length_c 4.291
_cell_angle_alpha 113.71
_cell_angle_beta 113.71
_cell_angle_gamma 33.93
loop_
_space_group_symop_operation_xyz
'x,y,z'
loop_
_atom_site_label
_atom_site_type_symbol
_atom_site_fract_x
_atom_site_fract_y
_atom_site_fract_z
_atom_site_occupancy
Sc1 Sc 0.000 0.000 0.000 1
Zn1 Zn 0.231 0.231 0.730 1
Ru1 Ru 0.489 0.489 0.489 1
Ru2 Ru 0.756 0.756 0.256 1
# Total DFT energy (no corrections)   -27.117 eV per cell
# Formation energy   -0.2399 eV per atom